Record 1
The following is a GGA-PBEsol calculation of crystalline YTi2SiBi at its relaxed geometry, from the Alexandria database.

Output
Uncorrected formation energy = 1199 meV/atom
N(E_F) = 1.080 states/eV/atom
Symmetry = P4/mmm (123)

Cell lengths 4.882, 4.882, 5.131 Å; angles 90.00, 90.00, 90.00 degrees
Atoms (fractional coordinates):
1 Bi 0.500 0.500 0.500
2 Ti 0.000 0.500 0.000
3 Ti 0.500 0.000 0.000
4 Si 0.000 0.000 0.500
5 Y 0.000 0.000 0.000


Record 2
The following is a GGA-PBEsol calculation of crystalline TlSiBi3 at its relaxed geometry, from the Alexandria database.

Output
Uncorrected formation energy = 452 meV/atom
N(E_F) = 0.644 states/eV/atom
Symmetry = Pm-3m (221)

Cell lengths 5.419, 5.419, 5.419 Å; angles 90.00, 90.00, 90.00 degrees
Atoms (fractional coordinates):
1 Tl 0.500 0.500 0.500
2 Bi 0.000 0.000 0.500
3 Bi 0.000 0.500 0.000
4 Bi 0.500 0.000 0.000
5 Si 0.000 0.000 0.000


Record 3
The following is a GGA-PBEsol calculation of crystalline YSi2Bi2 at its relaxed geometry, from the Alexandria database.

Output
Uncorrected formation energy = -25 meV/atom
N(E_F) = 0.638 states/eV/atom
Offset from the most stable computed form = 0.0682 eV/atom
Symmetry = I4/mmm (139)

Cell lengths 3.498, 3.498, 10.177 Å; angles 99.90, 99.90, 90.00 degrees
Atoms (fractional coordinates):
1 Bi 0.387 0.387 0.773
2 Bi 0.613 0.613 0.227
3 Si 0.750 0.250 0.500
4 Si 0.250 0.750 0.500
5 Y 0.000 0.000 0.000


| no. | energy (eV/atom) |
| --- | --- |
| 1 | -5.500 |
| 2 | -3.795 |
| 3 | -5.402 |